Below is a relaxed Tb2NdY6Th crystal, with properties calculated at the PBE-GGA level.

The structure belongs to space group C2/c (No. 15); the cell edges are 9.2535, 14.9217 and 9.6674 Å and the angles 90.00°, 98.12° and 90.00°. The asymmetric unit holds Tb at (0.2422, 0.0474, 0.0514), Nd at (0.0000, 0.4052, 0.2500), Y at (0.0652, 0.1792, 0.4423), Y at (0.0948, 0.3918, 0.6154), Y at (0.2024, 0.2229, 0.8193) and Th at (0.0000, 0.0282, 0.7500).

The density of states at the Fermi level is 63.31 states/eV/cell. As for the formation energy from the elements: 150 meV/atom.

---

Below is a relaxed Tb6Nd3YTh2 crystal, with properties calculated at the PBE-GGA level.

The structure belongs to space group C2/m (No. 12); the cell edges are 6.2343, 10.7891 and 11.8736 Å and the angles 90.00°, 100.09° and 90.00°. The asymmetric unit holds Tb at (0.2438, 0.0000, 0.2454), Tb at (0.2492, 0.1690, 0.7550), Nd at (0.0000, 0.0000, 0.5000), Nd at (0.0000, 0.3335, 0.5000), Y at (0.0000, 0.5000, 0.0000) and Th at (0.0000, 0.1665, 0.0000).

The density of states at the Fermi level is 32.62 states/eV/cell. As for the formation energy from the elements: 21 meV/atom.

---

Below is a relaxed TbNd2Y5Th crystal, with properties calculated at the PBE-GGA level.

The structure belongs to space group I4/mcm (No. 140); the cell edges are 8.7567, 8.7567 and 15.5124 Å and the angles 90.00°, 90.00° and 90.00°. The asymmetric unit holds Tb at (0.0000, 0.5000, 0.2500), Nd at (0.1161, 0.3839, 0.0000), Y at (0.0000, 0.0000, 0.0000), Y at (0.2124, 0.2876, 0.3608) and Th at (0.0000, 0.0000, 0.2500).

The density of states at the Fermi level is 43.09 states/eV/cell. As for the formation energy from the elements: 283 meV/atom.

---

Below is a relaxed TbNd3Y6Th2 crystal, with properties calculated at the PBE-GGA level.

The structure belongs to space group C2/m (No. 12); the cell edges are 6.2447, 10.8101 and 11.8547 Å and the angles 90.00°, 100.12° and 90.00°. The asymmetric unit holds Tb at (0.0000, 0.0000, 0.0000), Nd at (0.0000, 0.1662, 0.5000), Nd at (0.0000, 0.5000, 0.5000), Y at (0.2441, 0.5000, 0.2450), Y at (0.2494, 0.3311, 0.7552) and Th at (0.0000, 0.3334, 0.0000).

The density of states at the Fermi level is 32.39 states/eV/cell. As for the formation energy from the elements: 18 meV/atom.